The following is a DFT calculation (PBE) of a relaxed LiTe3 crystal.

Computed properties:
E_tot: -3.161 eV per atom
E_form (uncorrected): -0.326 eV per atom
D(E_F): 0.29 states/eV per atom

Cell lengths 13.096, 4.313, 4.514 Å; angles 90.00, 110.03, 90.00 degrees
Space group C2/m (No. 12)
Symmetry-distinct sites (fractional):
Li  0.000  0.000  0.000 (multiplicity 2)
Te  0.000  0.500  0.500 (multiplicity 2)
Te  0.245  0.500  0.745 (multiplicity 4)

---

The following is a DFT calculation (PBE) of a relaxed Li2Te crystal.

Computed properties:
E_tot: -3.273 eV per atom
E_form (uncorrected): -0.950 eV per atom
D(E_F): 0.00 states/eV per atom

Cell lengths 7.985, 4.546, 8.700 Å; angles 90.00, 102.14, 90.00 degrees
Space group C2/m (No. 12)
Symmetry-distinct sites (fractional):
Li  0.075  0.000  0.309 (multiplicity 4)
Li  0.191  0.500  0.105 (multiplicity 4)
Te  0.114  0.500  0.773 (multiplicity 4)

---

The following is a DFT calculation (PBE) of a relaxed LiTe5 crystal.

Computed properties:
E_tot: -2.709 eV per atom
E_form (uncorrected): 0.228 eV per atom
D(E_F): 0.93 states/eV per atom

Cell lengths 9.046, 9.046, 9.046 Å; angles 90.00, 90.00, 90.00 degrees
Space group F-43m (No. 216)
Symmetry-distinct sites (fractional):
Li  0.000  0.000  0.000 (multiplicity 4)
Te  0.124  0.124  0.376 (multiplicity 16)
Te  0.250  0.250  0.750 (multiplicity 4)

---

The following is a DFT calculation (PBE) of a relaxed Li2Te crystal.

Computed properties:
E_tot: -3.172 eV per atom
E_form (uncorrected): -0.849 eV per atom
D(E_F): 0.00 states/eV per atom

Cell lengths 7.967, 4.440, 4.677 Å; angles 90.00, 101.09, 90.00 degrees
Space group C2/m (No. 12)
Symmetry-distinct sites (fractional):
Li  0.152  0.000  0.319 (multiplicity 4)
Te  0.000  0.500  0.500 (multiplicity 2)

---

The following is a DFT calculation (PBE) of a relaxed Li3Te crystal.

Computed properties:
E_tot: -2.820 eV per atom
E_form (uncorrected): -0.599 eV per atom
D(E_F): 0.50 states/eV per atom

Cell lengths 4.190, 4.190, 8.497 Å; angles 90.00, 90.00, 90.00 degrees
Space group I4/mmm (No. 139)
Symmetry-distinct sites (fractional):
Li  0.000  0.000  0.000 (multiplicity 2)
Li  0.000  0.500  0.250 (multiplicity 4)
Te  0.000  0.000  0.500 (multiplicity 2)

---

The following is a DFT calculation (PBE) of a relaxed Li2Te crystal.

Computed properties:
E_tot: -3.221 eV per atom
E_form (uncorrected): -0.898 eV per atom
D(E_F): 0.00 states/eV per atom

Cell lengths 4.143, 14.529, 4.303 Å; angles 90.00, 90.00, 90.00 degrees
Space group Cmcm (No. 63)
Symmetry-distinct sites (fractional):
Li  0.000  0.086  0.250 (multiplicity 4)
Li  0.000  0.252  0.750 (multiplicity 4)
Te  0.000  0.375  0.250 (multiplicity 4)

---

The following is a DFT calculation (PBE) of a relaxed Li3Te crystal.

Computed properties:
E_tot: -2.755 eV per atom
E_form (uncorrected): -0.534 eV per atom
D(E_F): 0.18 states/eV per atom

Cell lengths 4.4095, 4.4095, 5.7524 Å; angles 90.00, 90.00, 120.00 degrees
Space group P-6m2 (No. 187)
Symmetry-distinct sites (fractional):
Li  0.0000  0.0000  0.0000 (multiplicity 1)
Li  0.3333  0.6667  0.2858 (multiplicity 2)
Te  0.0000  0.0000  0.5000 (multiplicity 1)

---

The following is a DFT calculation (PBE) of a relaxed LiTe3 crystal.

Computed properties:
E_tot: -2.876 eV per atom
E_form (uncorrected): -0.041 eV per atom
D(E_F): 0.67 states/eV per atom

Cell lengths 4.813, 4.813, 4.813 Å; angles 90.00, 90.00, 90.00 degrees
Space group Pm-3m (No. 221)
Symmetry-distinct sites (fractional):
Li  0.000  0.000  0.000 (multiplicity 1)
Te  0.000  0.500  0.500 (multiplicity 3)

---

The following is a DFT calculation (PBE) of a relaxed Li3Te crystal.

Computed properties:
E_tot: -2.575 eV per atom
E_form (uncorrected): -0.354 eV per atom
D(E_F): 0.54 states/eV per atom

Cell lengths 9.2944, 9.2944, 3.4043 Å; angles 90.00, 90.00, 120.00 degrees
Space group R-3m (No. 166, hexagonal axes)
Symmetry-distinct sites (fractional):
Li  0.0000  0.5000  0.0000 (multiplicity 9)
Te  0.0000  0.0000  0.0000 (multiplicity 3)

---

The following is a DFT calculation (PBE) of a relaxed Li3Te crystal.

Computed properties:
E_tot: -2.928 eV per atom
E_form (uncorrected): -0.707 eV per atom
D(E_F): 0.06 states/eV per atom

Cell lengths 6.2258, 6.2258, 4.5729 Å; angles 90.00, 90.00, 120.00 degrees
Space group P6_3/mmc (No. 194)
Symmetry-distinct sites (fractional):
Li  0.1672  0.3344  0.2500 (multiplicity 6)
Te  0.3333  0.6667  0.7500 (multiplicity 2)

---

The following is a DFT calculation (PBE) of a relaxed Li3Te crystal.

Computed properties:
E_tot: -2.912 eV per atom
E_form (uncorrected): -0.691 eV per atom
D(E_F): 0.34 states/eV per atom

Cell lengths 5.9802, 5.9802, 14.4147 Å; angles 90.00, 90.00, 120.00 degrees
Space group P6_3/mmc (No. 194)
Symmetry-distinct sites (fractional):
Li  0.0050  0.5025  0.2500 (multiplicity 6)
Li  0.1647  0.3293  0.5836 (multiplicity 12)
Te  0.0000  0.0000  0.2500 (multiplicity 2)
Te  0.3333  0.6667  0.0847 (multiplicity 4)

---

The following is a DFT calculation (PBE) of a relaxed Li2Te crystal.

Computed properties:
E_tot: -2.925 eV per atom
E_form (uncorrected): -0.601 eV per atom

Cell lengths 3.936, 3.936, 16.492 Å; angles 90.00, 90.00, 90.00 degrees
Space group I4_1/amd (No. 141, origin choice 2)
Symmetry-distinct sites (fractional):
Li  0.000  0.250  0.302 (multiplicity 8)
Te  0.000  0.250  0.875 (multiplicity 4)

---

The following is a DFT calculation (PBE) of a relaxed Li4Te3 crystal.

Computed properties:
E_tot: -2.715 eV per atom
E_form (uncorrected): -0.275 eV per atom
D(E_F): 0.63 states/eV per atom

Cell lengths 6.5242, 6.5242, 5.0027 Å; angles 90.00, 90.00, 120.00 degrees
Space group P6/mmm (No. 191)
Symmetry-distinct sites (fractional):
Li  0.0000  0.0000  0.2432 (multiplicity 2)
Li  0.3333  0.6667  0.5000 (multiplicity 2)
Te  0.0000  0.5000  0.0000 (multiplicity 3)

---

The following is a DFT calculation (PBE) of a relaxed Li3Te5 crystal.

Computed properties:
E_tot: -2.956 eV per atom
E_form (uncorrected): -0.275 eV per atom
D(E_F): 0.51 states/eV per atom

Cell lengths 8.1363, 8.1363, 7.2700 Å; angles 90.00, 90.00, 120.00 degrees
Space group P6_3/mcm (No. 193)
Symmetry-distinct sites (fractional):
Li  0.0000  0.4239  0.2500 (multiplicity 6)
Te  0.0000  0.2090  0.7500 (multiplicity 6)
Te  0.3333  0.6667  0.0000 (multiplicity 4)

---

The following is a DFT calculation (PBE) of a relaxed LiTe3 crystal.

Computed properties:
E_tot: -3.140 eV per atom
E_form (uncorrected): -0.305 eV per atom
D(E_F): 0.34 states/eV per atom

Cell lengths 4.484, 5.961, 4.369 Å; angles 90.00, 90.00, 90.00 degrees
Space group Pmm2 (No. 25)
Symmetry-distinct sites (fractional):
Li  0.000  0.000  0.000 (multiplicity 1)
Te  0.000  0.500  0.952 (multiplicity 1)
Te  0.500  0.000  0.539 (multiplicity 1)
Te  0.500  0.500  0.436 (multiplicity 1)

---

The following is a DFT calculation (PBE) of a relaxed Li3Te crystal.

Computed properties:
E_tot: -2.923 eV per atom
E_form (uncorrected): -0.702 eV per atom
D(E_F): 0.22 states/eV per atom

Cell lengths 4.189, 4.189, 4.189 Å; angles 90.00, 90.00, 90.00 degrees
Space group Pm-3m (No. 221)
Symmetry-distinct sites (fractional):
Li  0.000  0.000  0.500 (multiplicity 3)
Te  0.500  0.500  0.500 (multiplicity 1)

---

The following is a DFT calculation (PBE) of a relaxed LiTe3 crystal.

Computed properties:
E_tot: -3.237 eV per atom
E_form (uncorrected): -0.402 eV per atom
D(E_F): 0.04 states/eV per atom

Cell lengths 6.141, 6.141, 6.141 Å; angles 90.00, 90.00, 90.00 degrees
Space group Im-3m (No. 229)
Symmetry-distinct sites (fractional):
Li  0.000  0.000  0.000 (multiplicity 2)
Te  0.000  0.000  0.500 (multiplicity 6)

---

The following is a DFT calculation (PBE) of a relaxed LiTe3 crystal.

Computed properties:
E_tot: -3.040 eV per atom
E_form (uncorrected): -0.205 eV per atom
D(E_F): 0.42 states/eV per atom

Cell lengths 9.590, 16.109, 4.057 Å; angles 90.00, 90.00, 90.00 degrees
Space group Cmcm (No. 63)
Symmetry-distinct sites (fractional):
Li  0.000  0.237  0.250 (multiplicity 4)
Te  0.000  0.426  0.250 (multiplicity 4)
Te  0.202  0.314  0.750 (multiplicity 8)

---

The following is a DFT calculation (PBE) of a relaxed LiTe3 crystal.

Computed properties:
E_tot: -2.947 eV per atom
E_form (uncorrected): -0.112 eV per atom
D(E_F): 0.57 states/eV per atom

Cell lengths 6.628, 8.108, 4.096 Å; angles 90.00, 90.00, 90.00 degrees
Space group Cmmm (No. 65)
Symmetry-distinct sites (fractional):
Li  0.000  0.000  0.000 (multiplicity 2)
Te  0.000  0.500  0.000 (multiplicity 2)
Te  0.250  0.250  0.500 (multiplicity 4)

---

no.,calculated volume (Å³ per cell)
1,239.5
2,308.8
3,740.2
4,162.4
5,149.2
6,259.0
7,96.9
8,111.5
9,254.7
10,153.5
11,446.4
12,255.5
13,184.4
14,416.8
15,116.8
16,73.5
17,231.6
18,626.8
19,220.1